{"formula": "Mn2ZnO4", "functional": "PBE+U", "state": "relaxed", "total_magnetization_mub_per_cell": 14.88, "energy_ev_per_cell": -278.67, "dos_at_fermi_per_ev_cell": 7.14, "relative_energy_kcal_per_mol_atoms": 1.943, "lattice": [[5.314, -3.009, 0.000], [5.314, 3.009, 0.000], [-0.451, 0.000, 14.918]], "species": ["Mn", "Mn", "Mn", "Mn", "Mn", "Mn", "Mn", "Mn", "Mn", "Mn", "Mn", "Mn", "Zn", "Zn", "Zn", "Zn", "Zn", "Zn", "O", "O", "O", "O", "O", "O", "O", "O", "O", "O", "O", "O", "O", "O", "O", "O", "O", "O", "O", "O", "O", "O", "O", "O"], "frac_coords": [[0.000, 0.000, 0.000], [0.008, 0.008, 0.623], [0.010, 0.509, 0.122], [0.018, 0.018, 0.244], [0.172, 0.671, 0.787], [0.334, 0.334, 0.334], [0.348, 0.846, 0.457], [0.353, 0.353, 0.578], [0.509, 0.010, 0.122], [0.671, 0.172, 0.787], [0.684, 0.684, 0.911], [0.846, 0.348, 0.457], [0.174, 0.174, 0.791], [0.345, 0.345, 0.956], [0.510, 0.510, 0.123], [0.663, 0.663, 0.668], [0.675, 0.675, 0.290], [0.844, 0.844, 0.455], [0.020, 0.020, 0.384], [0.044, 0.512, 0.863], [0.169, 0.169, 0.528], [0.172, 0.641, 0.048], [0.177, 0.725, 0.535], [0.185, 0.185, 0.049], [0.300, 0.840, 0.708], [0.331, 0.331, 0.193], [0.348, 0.348, 0.717], [0.378, 0.847, 0.197], [0.502, 0.502, 0.860], [0.508, 0.973, 0.384], [0.512, 0.044, 0.863], [0.520, 0.520, 0.388], [0.641, 0.172, 0.048], [0.671, 0.671, 0.533], [0.687, 0.687, 0.052], [0.725, 0.177, 0.535], [0.834, 0.834, 0.196], [0.840, 0.300, 0.708], [0.845, 0.845, 0.712], [0.847, 0.378, 0.197], [0.973, 0.508, 0.384], [0.999, 0.999, 0.858]]}